First-principles (PBE-GGA) data for a relaxed structure of Ir2PtAu, as listed in Alexandria.

abc: 2.7358 4.8288 9.6660
angles: 90.00 90.00 90.00
Space group Cmm2 (No. 35)
Symmetry-distinct sites (fractional):
Ir: 0.0000 0.0000 0.0000 [2 per cell]
Ir: 0.0000 0.5000 0.2316 [2 per cell]
Pt: 0.0000 0.0000 0.4780 [2 per cell]
Au: 0.0000 0.5000 0.7400 [2 per cell]

Results
Distance to the lowest polymorph of the same formula, eV per formula unit: 0.54
E, eV per atom: -6.51